(1)
# BaBr3 | the Alexandria database | PBE | optimized geometry
# E = -0.12041 hartree per atom
# Energy relative to the elements, uncorrected = -148.7 kJ/mol of atoms
data_BaBr3
_cell_length_a 6.299
_cell_length_b 6.299
_cell_length_c 6.299
_cell_angle_alpha 90.00
_cell_angle_beta 90.00
_cell_angle_gamma 90.00
_space_group_name_H-M_alt 'P m -3 n'
_space_group_IT_number 223
_space_group_name_Hall '-P 4n 2 3'
loop_
_atom_site_label
_atom_site_type_symbol
_atom_site_fract_x
_atom_site_fract_y
_atom_site_fract_z
_atom_site_occupancy
Ba1 Ba 0.000 0.000 0.000 1
Br1 Br 0.000 0.250 0.500 1

---

(2)
# Mn5CoRu | the Alexandria database | PBE | optimized geometry
# E = -0.31654 hartree per atom
data_Mn5CoRu
_cell_length_a 5.933
_cell_length_b 7.928
_cell_length_c 8.114
_cell_angle_alpha 90.00
_cell_angle_beta 90.00
_cell_angle_gamma 90.00
_space_group_name_H-M_alt 'I m m a'
_space_group_IT_number 74
_space_group_name_Hall '-I 2b 2'
loop_
_atom_site_label
_atom_site_type_symbol
_atom_site_fract_x
_atom_site_fract_y
_atom_site_fract_z
_atom_site_occupancy
Mn1 Mn 0.000 0.250 0.237 1
Mn2 Mn 0.221 0.250 0.504 1
Mn3 Mn 0.250 0.002 0.750 1
Co1 Co 0.000 0.250 0.761 1
Ru1 Ru 0.000 0.000 0.000 1

---

(3)
# CdSnPbF2 | the Alexandria database | PBE | optimized geometry
# E = -0.12680 hartree per atom
# Energy relative to the elements, uncorrected = -94.2 kJ/mol of atoms
data_CdSnPbF2
_cell_length_a 4.619
_cell_length_b 4.619
_cell_length_c 6.124
_cell_angle_alpha 90.00
_cell_angle_beta 90.00
_cell_angle_gamma 90.00
_space_group_name_H-M_alt 'P 4/m m m'
_space_group_IT_number 123
_space_group_name_Hall '-P 4 2'
loop_
_atom_site_label
_atom_site_type_symbol
_atom_site_fract_x
_atom_site_fract_y
_atom_site_fract_z
_atom_site_occupancy
Cd1 Cd 0.000 0.000 0.000 1
Sn1 Sn 0.500 0.500 0.000 1
Pb1 Pb 0.000 0.000 0.500 1
F1 F 0.000 0.500 0.500 1